# IrAu3S

A geometry-optimized IrAu3S structure (PBE, Alexandria).

Calculated values
**Raw formation energy**: 1383.3 meV per atom
**Total magnetic moment**: 1.21 μB per cell
**Total energy**: -3.18 eV per atom

Geometry as extended XYZ:
```
5
Lattice="5.0136 0.0000 0.0000 0.0000 5.0136 0.0000 0.0000 0.0000 5.0136" Properties=species:S:1:pos:R:3 pbc="T T T"
Ir 0.0000 0.0000 0.0000
Au 2.5068 0.0000 0.0000
Au 0.0000 2.5068 0.0000
Au 0.0000 0.0000 2.5068
S 2.5068 2.5068 2.5068
```